Entry 1:
{"formula": "SrDyCdAs2", "functional": "PBE", "state": "optimized geometry", "lattice": [[2.144, -8.825, 0.000], [2.144, 8.825, 0.000], [0.000, 0.000, 6.964]], "species": ["Sr", "Sr", "Dy", "Dy", "Cd", "Cd", "As", "As", "As", "As"], "fractional_positions": [[0.195, 0.805, 0.500], [0.805, 0.195, 0.000], [0.027, 0.973, 0.181], [0.973, 0.027, 0.681], [0.390, 0.610, 0.355], [0.610, 0.390, 0.855], [0.177, 0.823, 0.021], [0.449, 0.551, 0.972], [0.551, 0.449, 0.472], [0.823, 0.177, 0.521]], "e_tot_ev_per_atom": -4.20, "m_tot_mub_per_fu": 0.0, "mass_density_g_cm3": 6.46, "sg": "Cmc2_1 (36)"}

Entry 2:
{"formula": "K4OsS4", "functional": "PBE", "state": "optimized geometry", "lattice": [[5.125, -3.776, 0.000], [5.125, 3.776, 0.000], [-1.174, 0.000, 6.803]], "species": ["K", "K", "K", "K", "Os", "S", "S", "S", "S"], "fractional_positions": [[0.133, 0.133, 0.357], [0.323, 0.323, 0.888], [0.677, 0.677, 0.112], [0.867, 0.867, 0.643], [0.500, 0.500, 0.500], [0.184, 0.615, 0.289], [0.385, 0.816, 0.711], [0.615, 0.184, 0.289], [0.816, 0.385, 0.711]], "e_tot_ev_per_atom": -4.25, "m_tot_mub_per_fu": 2.0, "mass_density_g_cm3": 3.00, "sg": "C2/m (12)"}

Entry 3:
{"formula": "YHg2Au2", "functional": "PBE", "state": "optimized geometry", "lattice": [[7.574, 0.000, 0.000], [0.000, 7.574, 0.000], [0.000, 0.000, 3.995]], "species": ["Y", "Y", "Hg", "Hg", "Hg", "Hg", "Au", "Au", "Au", "Au"], "fractional_positions": [[0.000, 0.000, 0.000], [0.500, 0.500, 0.000], [0.174, 0.326, 0.500], [0.326, 0.826, 0.500], [0.674, 0.174, 0.500], [0.826, 0.674, 0.500], [0.129, 0.629, 0.000], [0.371, 0.129, 0.000], [0.629, 0.871, 0.000], [0.871, 0.371, 0.000]], "e_tot_ev_per_atom": -2.99, "m_tot_mub_per_fu": 0.0, "mass_density_g_cm3": 12.81, "sg": "P4/mbm (127)", "ef_ev_per_fu": -1.3}

Entry 4:
{"formula": "AlTc", "functional": "PBE", "state": "optimized geometry", "lattice": [[4.319, 0.000, 0.000], [0.000, 2.989, 0.000], [0.000, 0.000, 4.435]], "species": ["Al", "Al", "Tc", "Tc"], "fractional_positions": [[0.250, 0.000, 0.191], [0.750, 0.000, 0.809], [0.250, 0.500, 0.688], [0.750, 0.500, 0.312]], "e_tot_ev_per_atom": -7.35, "m_tot_mub_per_fu": 0.0, "mass_density_g_cm3": 7.25, "e_above_lowest_polymorph_ev_per_atom": 0.1186, "sg": "Pmma (51)"}